Record 1
## BaMnAl2 (GGA-PBEsol)

Data for a relaxed BaMnAl2 crystal.

The structure belongs to space group R3m (No. 160, hexagonal axes); the cell edges are 4.4154, 4.4154 and 17.9101 Å and the angles 90.00°, 90.00° and 120.00°. The asymmetric unit holds Ba at (0.0000, 0.0000, 0.0000), Mn at (0.0000, 0.0000, 0.1857), Al at (0.0000, 0.0000, 0.5184) and Al at (0.0000, 0.0000, 0.8087).

The calculation puts the calculated formation energy at 0.09 eV/atom. Its calculated density is 4.055 g/cm³.

=====

Record 2
## Sb4S5Cl2 (GGA-PBEsol)

Data for a relaxed Sb4S5Cl2 crystal.

The structure belongs to space group Pnma (No. 62); the cell edges are 10.484, 9.461 and 10.935 Å and the angles 90.00°, 90.00° and 90.00°. The asymmetric unit holds Sb at (0.045, 0.250, 0.061), Sb at (0.053, 0.750, 0.509), Sb at (0.225, 0.039, 0.680), S at (0.005, 0.553, 0.656), S at (0.180, 0.051, 0.988), S at (0.183, 0.250, 0.536), Cl at (0.021, 0.750, 0.168) and Cl at (0.227, 0.250, 0.240).

For the uncorrected formation energy, the calculation gives -39 kJ/mol of atoms. Its calculated density is 4.399 g/cm³.

=====

Record 3
## Ba4BeAs (GGA-PBEsol)

Data for a relaxed Ba4BeAs crystal.

The structure belongs to space group F-43m (No. 216); the cell edges are 9.673, 9.673 and 9.673 Å and the angles 90.00°, 90.00° and 90.00°. The asymmetric unit holds Ba at (0.124, 0.124, 0.124), Be at (0.000, 0.000, 0.500) and As at (0.250, 0.250, 0.750).

The calculation puts the calculated formation energy at 0.68 eV/atom. Its calculated density is 4.647 g/cm³.

=====

Record 4
## AgPRu2 (GGA-PBEsol)

Data for a relaxed AgPRu2 crystal.

The structure belongs to space group Cmmm (No. 65); the cell edges are 2.867, 4.776 and 8.304 Å and the angles 90.00°, 90.00° and 90.00°. The asymmetric unit holds Ag at (0.000, 0.000, 0.000), P at (0.000, 0.000, 0.500) and Ru at (0.000, 0.500, 0.292).

The calculation puts the calculated formation energy at 0.16 eV/atom. For the distance to the lowest polymorph of the same formula, the calculation gives 21.9 kJ/mol of atoms. Its calculated density is 9.960 g/cm³.

=====

Record 5
## Cs2NaBiF6 (GGA-PBEsol)

Data for a relaxed Cs2NaBiF6 crystal.

The structure belongs to space group Fm-3m (No. 225); the cell edges are 9.131, 9.131 and 9.131 Å and the angles 90.00°, 90.00° and 90.00°. The asymmetric unit holds Cs at (0.250, 0.250, 0.250), Na at (0.000, 0.000, 0.000), Bi at (0.000, 0.000, 0.500) and F at (0.000, 0.000, 0.253).

For the uncorrected formation energy, the calculation gives -260 kJ/mol of atoms. Its calculated density is 5.338 g/cm³.

=====

Record 6
## CaTe2Se (GGA-PBEsol)

Data for a relaxed CaTe2Se crystal.

The structure belongs to space group F-43m (No. 216); the cell edges are 7.492, 7.492 and 7.492 Å and the angles 90.00°, 90.00° and 90.00°. The asymmetric unit holds Ca at (0.000, 0.000, 0.000), Te at (0.000, 0.000, 0.500), Te at (0.250, 0.250, 0.250) and Se at (0.250, 0.250, 0.750).

For the uncorrected formation energy, the calculation gives -41 kJ/mol of atoms. Its calculated density is 5.910 g/cm³.